1.
The following is a PBE calculation of an optimized crystal structure of InAgSn, from the Alexandria database.

Output
- formation energy (kJ per mole of atoms) = -0.1

a = 5.699 Å, b = 5.744 Å, c = 5.749 Å
α = 119.83°, β = 104.52°, γ = 104.11°
Positions (direct):
1 In 0.000 0.000 0.000
2 In 0.314 0.503 0.815
3 Ag 0.815 0.409 0.908
4 Ag 0.815 0.910 0.408
5 Sn 0.316 0.814 0.505
6 Sn 0.622 0.314 0.313

---

2.
The following is a PBE calculation of an optimized crystal structure of CaCuPb2, from the Alexandria database.

Output
- formation energy (kJ per mole of atoms) = -8.2

a = 6.113 Å, b = 6.113 Å, c = 4.918 Å
α = 113.36°, β = 113.36°, γ = 39.21°
Positions (direct):
1 Ca 0.000 0.000 0.000
2 Cu 0.746 0.746 0.181
3 Pb 0.217 0.217 0.711
4 Pb 0.432 0.432 0.435

---

3.
The following is a PBE calculation of an optimized crystal structure of CsNi2S, from the Alexandria database.

Output
- ΔE_f (raw) (eV per atom) = -0.2489

a = 7.729 Å, b = 7.729 Å, c = 7.729 Å
α = 140.08°, β = 140.08°, γ = 57.74°
Positions (direct):
1 Cs 0.000 0.000 0.000
2 Cs 0.750 0.250 0.500
3 Ni 0.374 0.125 0.749
4 Ni 0.375 0.626 0.751
5 Ni 0.376 0.625 0.251
6 Ni 0.875 0.624 0.249
7 S 0.250 0.750 0.500
8 S 0.500 0.500 0.000

---

4.
The following is a PBE calculation of an optimized crystal structure of AcCeSe2O, from the Alexandria database.

Output
- ΔE_f (raw) (eV per atom) = -2.4109

a = 4.233 Å, b = 4.233 Å, c = 14.824 Å
α = 90.00°, β = 90.00°, γ = 90.00°
Positions (direct):
1 Ac 0.250 0.250 0.087
2 Ac 0.750 0.750 0.913
3 Ce 0.250 0.250 0.616
4 Ce 0.750 0.750 0.384
5 Se 0.250 0.250 0.407
6 Se 0.250 0.250 0.799
7 Se 0.750 0.750 0.201
8 Se 0.750 0.750 0.593
9 O 0.250 0.750 0.000
10 O 0.750 0.250 0.000

---

5.
The following is a PBE calculation of an optimized crystal structure of LiNd2RuO5, from the Alexandria database.

Output
- ΔE_f (raw) (eV per atom) = -2.1978

a = 6.828 Å, b = 6.828 Å, c = 5.784 Å
α = 90.00°, β = 90.00°, γ = 90.00°
Positions (direct):
1 Li 0.000 0.000 0.000
2 Li 0.500 0.500 0.000
3 Nd 0.177 0.323 0.500
4 Nd 0.323 0.823 0.500
5 Nd 0.677 0.177 0.500
6 Nd 0.823 0.677 0.500
7 Ru 0.000 0.500 0.000
8 Ru 0.500 0.000 0.000
9 O 0.000 0.000 0.500
10 O 0.135 0.635 0.248
11 O 0.135 0.635 0.752
12 O 0.365 0.135 0.248
13 O 0.365 0.135 0.752
14 O 0.500 0.500 0.500
15 O 0.635 0.865 0.248
16 O 0.635 0.865 0.752
17 O 0.865 0.365 0.248
18 O 0.865 0.365 0.752

---

6.
The following is a PBE calculation of an optimized crystal structure of KGeSbO5, from the Alexandria database.

Output
- energy above the lowest structure with this stoichiometry (meV per atom) = 76
- ΔE_f (raw) (eV per atom) = -1.6033

a = 5.869 Å, b = 5.869 Å, c = 7.440 Å
α = 105.35°, β = 105.35°, γ = 105.41°
Positions (direct):
1 K 0.162 0.838 0.750
2 K 0.838 0.162 0.250
3 Ge 0.193 0.807 0.250
4 Ge 0.807 0.193 0.750
5 Sb 0.500 0.500 0.000
6 Sb 0.500 0.500 0.500
7 O 0.125 0.276 0.913
8 O 0.204 0.602 0.390
9 O 0.276 0.125 0.413
10 O 0.398 0.796 0.110
11 O 0.432 0.568 0.750
12 O 0.568 0.432 0.250
13 O 0.602 0.204 0.890
14 O 0.724 0.875 0.587
15 O 0.796 0.398 0.610
16 O 0.875 0.724 0.087

---

7.
The following is a PBE calculation of an optimized crystal structure of KCd2O2, from the Alexandria database.

Output
- energy above the lowest structure with this stoichiometry (meV per atom) = 99
- ΔE_f (raw) (eV per atom) = -0.7614

a = 6.966 Å, b = 6.966 Å, c = 6.966 Å
α = 145.69°, β = 145.69°, γ = 49.31°
Positions (direct):
1 K 0.000 0.000 0.000
2 Cd 0.250 0.750 0.500
3 Cd 0.750 0.250 0.500
4 O 0.343 0.343 0.000
5 O 0.657 0.657 0.000

---

8.
The following is a PBE calculation of an optimized crystal structure of MnW2Au, from the Alexandria database.

Output
- energy above the lowest structure with this stoichiometry (meV per atom) = 148
- formation energy (kJ per mole of atoms) = 35.7

a = 4.983 Å, b = 4.983 Å, c = 2.731 Å
α = 90.11°, β = 90.11°, γ = 113.72°
Positions (direct):
1 Mn 0.000 0.000 0.000
2 W 0.000 0.500 0.500
3 W 0.500 0.000 0.500
4 Au 0.500 0.500 0.000

---

9.
The following is a PBE calculation of an optimized crystal structure of Er8ThSc4, from the Alexandria database.

Output
- formation energy (kJ per mole of atoms) = 28.5

a = 11.112 Å, b = 11.112 Å, c = 11.112 Å
α = 34.60°, β = 34.60°, γ = 34.60°
Positions (direct):
1 Er 0.198 0.198 0.198
2 Er 0.243 0.751 0.751
3 Er 0.249 0.249 0.757
4 Er 0.249 0.757 0.249
5 Er 0.751 0.243 0.751
6 Er 0.751 0.751 0.243
7 Er 0.757 0.249 0.249
8 Er 0.802 0.802 0.802
9 Th 0.500 0.500 0.500
10 Sc 0.000 0.000 0.000
11 Sc 0.000 0.500 0.500
12 Sc 0.500 0.000 0.500
13 Sc 0.500 0.500 0.000

---

10.
The following is a PBE calculation of an optimized crystal structure of Rb2TlPtBr, from the Alexandria database.

Output
- ΔE_f (raw) (eV per atom) = -0.5768

a = 6.431 Å, b = 6.431 Å, c = 5.254 Å
α = 90.00°, β = 90.00°, γ = 90.00°
Positions (direct):
1 Rb 0.000 0.500 0.000
2 Rb 0.500 0.000 0.000
3 Tl 0.000 0.000 0.500
4 Pt 0.000 0.000 0.000
5 Br 0.500 0.500 0.500

---

11.
The following is a PBE calculation of an optimized crystal structure of Pm2ErInN, from the Alexandria database.

Output
- ΔE_f (raw) (eV per atom) = -0.9292

a = 5.000 Å, b = 5.000 Å, c = 4.766 Å
α = 90.00°, β = 90.00°, γ = 90.00°
Positions (direct):
1 Pm 0.000 0.500 0.000
2 Pm 0.500 0.000 0.000
3 Er 0.000 0.000 0.500
4 In 0.500 0.500 0.500
5 N 0.000 0.000 0.000

---

12.
The following is a PBE calculation of an optimized crystal structure of MnHg2Br8, from the Alexandria database.

Output
- energy above the lowest structure with this stoichiometry (meV per atom) = 27
- ΔE_f (raw) (eV per atom) = -0.4001

a = 7.151 Å, b = 7.151 Å, c = 11.126 Å
α = 107.12°, β = 107.12°, γ = 53.98°
Positions (direct):
1 Mn 0.000 0.000 0.000
2 Hg 0.333 0.333 0.444
3 Hg 0.667 0.667 0.556
4 Br 0.110 0.615 0.897
5 Br 0.174 0.174 0.529
6 Br 0.385 0.890 0.103
7 Br 0.459 0.459 0.312
8 Br 0.541 0.541 0.688
9 Br 0.615 0.110 0.897
10 Br 0.826 0.826 0.471
11 Br 0.890 0.385 0.103

---

E_tot / eV per atom: -3.198, -3.464, -4.385, -6.805, -7.255, -5.932, -3.330, -9.218, -5.032, -2.980, -5.955, -2.505
Magnetization / μB per cell: 0.0, 0.0, 0.0, 1.8, 6.0, 0.0, 0.0, 2.1, 0.0, 0.0, 0.0, 4.3